This record from Alexandria via LeMat-Bulk describes a geometry-optimized BaYF5 structure. The functional is PBE.

POSCAR file:
```
BaYF5
1.0
10.405 0.000 0.000
0.000 5.742 0.001
0.000 0.161 8.212
Ba Y F
4 4 20
Cartesian
0.260 0.183 6.689
3.559 2.952 5.213
8.762 2.951 3.000
5.463 5.720 1.523
6.518 5.822 5.170
2.243 2.938 0.800
7.445 2.965 7.413
1.315 0.080 3.043
7.837 5.519 3.467
5.854 1.299 7.000
3.018 1.030 1.901
5.394 1.480 3.914
2.342 1.647 7.383
0.136 1.432 4.329
7.428 1.622 1.058
7.757 2.029 5.338
0.505 1.743 1.697
9.566 2.524 7.428
4.364 3.379 0.784
5.707 4.160 6.515
2.554 3.873 2.875
2.225 4.280 7.154
5.339 4.471 3.884
7.544 4.255 0.829
0.191 4.422 4.299
8.220 4.873 6.312
0.651 4.603 1.213
2.635 0.384 4.746
```

- Crystal system: monoclinic
- Symmetry: No. 4
- E_form (uncorrected): -3.983 eV per atom
- VASP energy: -182.50 eV per cell
- ρ: 4.35 Mg/m³
- Polymorph energy (0 for the lowest one): 58 meV/atom